# LiPb2F | Alexandria | GGA-PBEsol | optimized geometry
# * N(E_F): 9.2 states/eV per cell
# * magnetization: 0.00 μB per atom
data_LiPb2F
_chemical_formula_sum 'Li4 Pb8 F4'
_symmetry_space_group_name_H-M 'F m -3 m'
_symmetry_Int_Tables_number 225
_symmetry_space_group_name_Hall '-F 4 2 3'
_cell_length_a 6.816
_cell_length_b 6.816
_cell_length_c 6.816
_cell_angle_alpha 90.00
_cell_angle_beta 90.00
_cell_angle_gamma 90.00
loop_
_atom_site_label
_atom_site_fract_x
_atom_site_fract_y
_atom_site_fract_z
_atom_site_occupancy
Li1 0.000 0.000 0.000 1
Pb1 0.250 0.250 0.250 1
F1 0.000 0.000 0.500 1



# Li2PdF6 | Alexandria | GGA-PBEsol | optimized geometry
# * N(E_F): 0.0 states/eV per cell
# * magnetization: 0.00 μB per atom
data_Li2PdF6
_chemical_formula_sum 'Li4 Pd2 F12'
_symmetry_space_group_name_H-M 'P 42/m n m'
_symmetry_Int_Tables_number 136
_symmetry_space_group_name_Hall '-P 4n 2n'
_cell_length_a 4.615
_cell_length_b 4.615
_cell_length_c 9.041
_cell_angle_alpha 90.00
_cell_angle_beta 90.00
_cell_angle_gamma 90.00
loop_
_atom_site_label
_atom_site_fract_x
_atom_site_fract_y
_atom_site_fract_z
_atom_site_occupancy
Li1 0.000 0.000 0.164 1
Pd1 0.000 0.000 0.500 1
F1 0.193 0.193 0.340 1
F2 0.206 0.206 0.000 1



# Li3PdF6 | Alexandria | GGA-PBEsol | optimized geometry
# * N(E_F): 16.4 states/eV per cell
# * magnetization: 0.10 μB per atom
data_Li3PdF6
_chemical_formula_sum 'Li12 Pd4 F24'
_symmetry_space_group_name_H-M 'F m -3 m'
_symmetry_Int_Tables_number 225
_symmetry_space_group_name_Hall '-F 4 2 3'
_cell_length_a 7.803
_cell_length_b 7.803
_cell_length_c 7.803
_cell_angle_alpha 90.00
_cell_angle_beta 90.00
_cell_angle_gamma 90.00
loop_
_atom_site_label
_atom_site_fract_x
_atom_site_fract_y
_atom_site_fract_z
_atom_site_occupancy
Li1 0.000 0.000 0.000 1
Li2 0.250 0.250 0.250 1
Pd1 0.000 0.000 0.500 1
F1 0.000 0.000 0.245 1



# LiPdF2 | Alexandria | GGA-PBEsol | optimized geometry
# * N(E_F): 2.6 states/eV per cell
# * magnetization: 0.00 μB per atom
data_LiPdF2
_chemical_formula_sum 'Li3 Pd3 F6'
_symmetry_space_group_name_H-M 'R -3 m'
_symmetry_Int_Tables_number 166
_symmetry_space_group_name_Hall '-R 3 2"'
_cell_length_a 2.8098
_cell_length_b 2.8098
_cell_length_c 18.3219
_cell_angle_alpha 90.00
_cell_angle_beta 90.00
_cell_angle_gamma 120.00
loop_
_atom_site_label
_atom_site_fract_x
_atom_site_fract_y
_atom_site_fract_z
_atom_site_occupancy
Li1 0.0000 0.0000 0.0000 1
Pd1 0.0000 0.0000 0.5000 1
F1 0.0000 0.0000 0.3922 1



# Li3PdF | Alexandria | GGA-PBEsol | optimized geometry
# * N(E_F): 0.1 states/eV per cell
# * magnetization: 0.00 μB per atom
data_Li3PdF
_chemical_formula_sum 'Li3 Pd1 F1'
_symmetry_space_group_name_H-M 'P m -3 m'
_symmetry_Int_Tables_number 221
_symmetry_space_group_name_Hall '-P 4 2 3'
_cell_length_a 3.910
_cell_length_b 3.910
_cell_length_c 3.910
_cell_angle_alpha 90.00
_cell_angle_beta 90.00
_cell_angle_gamma 90.00
loop_
_atom_site_label
_atom_site_fract_x
_atom_site_fract_y
_atom_site_fract_z
_atom_site_occupancy
Li1 0.000 0.000 0.500 1
Pd1 0.500 0.500 0.500 1
F1 0.000 0.000 0.000 1



# Li2PtF6 | Alexandria | GGA-PBEsol | optimized geometry
# * N(E_F): 0.0 states/eV per cell
# * magnetization: 0.00 μB per atom
data_Li2PtF6
_chemical_formula_sum 'Li4 Pt2 F12'
_symmetry_space_group_name_H-M 'P n n m'
_symmetry_Int_Tables_number 58
_cell_length_a 4.628
_cell_length_b 4.632
_cell_length_c 9.156
_cell_angle_alpha 90.00
_cell_angle_beta 90.00
_cell_angle_gamma 90.00
loop_
_symmetry_equiv_pos_as_xyz
'x,y,z'
'-x,-y,-z'
'-x,-y,z'
'x,y,-z'
'x+1/2,-y+1/2,-z+1/2'
'-x+1/2,y+1/2,z+1/2'
'-x+1/2,y+1/2,-z+1/2'
'x+1/2,-y+1/2,z+1/2'
loop_
_atom_site_label
_atom_site_fract_x
_atom_site_fract_y
_atom_site_fract_z
_atom_site_occupancy
Li1 0.000 0.000 0.164 1
Pt1 0.000 0.000 0.500 1
F1 0.194 0.193 0.338 1
F2 0.203 0.202 0.000 1



# LiPtF6 | Alexandria | GGA-PBEsol | optimized geometry
# * N(E_F): 22.6 states/eV per cell
# * magnetization: 0.13 μB per atom
data_LiPtF6
_chemical_formula_sum 'Li3 Pt3 F18'
_symmetry_space_group_name_H-M 'R -3'
_symmetry_Int_Tables_number 148
_symmetry_space_group_name_Hall '-R 3'
_cell_length_a 5.0053
_cell_length_b 5.0053
_cell_length_c 13.4996
_cell_angle_alpha 90.00
_cell_angle_beta 90.00
_cell_angle_gamma 120.00
loop_
_atom_site_label
_atom_site_fract_x
_atom_site_fract_y
_atom_site_fract_z
_atom_site_occupancy
Li1 0.0000 0.0000 0.0000 1
Pt1 0.0000 0.0000 0.5000 1
F1 0.0115 0.3688 0.2481 1



# LiPtF2 | Alexandria | GGA-PBEsol | optimized geometry
# * N(E_F): 5.0 states/eV per cell
# * magnetization: 0.28 μB per atom
# * relative energy among the computed polymorphs: 0.721 eV/atom
data_LiPtF2
_chemical_formula_sum 'Li4 Pt4 F8'
_symmetry_space_group_name_H-M 'I -4 2 d'
_symmetry_Int_Tables_number 122
_symmetry_space_group_name_Hall 'I -4 2bw'
_cell_length_a 4.985
_cell_length_b 4.985
_cell_length_c 7.809
_cell_angle_alpha 90.00
_cell_angle_beta 90.00
_cell_angle_gamma 90.00
loop_
_atom_site_label
_atom_site_fract_x
_atom_site_fract_y
_atom_site_fract_z
_atom_site_occupancy
Li1 0.000 0.000 0.000 1
Pt1 0.000 0.000 0.500 1
F1 0.166 0.250 0.125 1



# LiPtF2 | Alexandria | GGA-PBEsol | optimized geometry
# * N(E_F): 2.6 states/eV per cell
# * magnetization: 0.00 μB per atom
# * relative energy among the computed polymorphs: 0.000 eV/atom
data_LiPtF2
_chemical_formula_sum 'Li3 Pt3 F6'
_symmetry_space_group_name_H-M 'R -3 m'
_symmetry_Int_Tables_number 166
_symmetry_space_group_name_Hall '-R 3 2"'
_cell_length_a 2.8016
_cell_length_b 2.8016
_cell_length_c 18.4484
_cell_angle_alpha 90.00
_cell_angle_beta 90.00
_cell_angle_gamma 120.00
loop_
_atom_site_label
_atom_site_fract_x
_atom_site_fract_y
_atom_site_fract_z
_atom_site_occupancy
Li1 0.0000 0.0000 0.0000 1
Pt1 0.0000 0.0000 0.5000 1
F1 0.0000 0.0000 0.3916 1



# RbLiF2 | Alexandria | GGA-PBEsol | optimized geometry
# * N(E_F): 0.0 states/eV per cell
# * magnetization: 0.02 μB per atom
# * relative energy among the computed polymorphs: 0.000 eV/atom
data_RbLiF2
_chemical_formula_sum 'Rb8 Li8 F16'
_symmetry_space_group_name_H-M 'C 1 2/c 1'
_symmetry_Int_Tables_number 15
_cell_length_a 5.783
_cell_length_b 11.095
_cell_length_c 7.756
_cell_angle_alpha 90.00
_cell_angle_beta 96.48
_cell_angle_gamma 90.00
loop_
_symmetry_equiv_pos_as_xyz
'x,y,z'
'-x,-y,-z'
'-x,y,-z+1/2'
'x,-y,z+1/2'
'x+1/2,y+1/2,z'
'-x+1/2,-y+1/2,-z'
'-x+1/2,y+1/2,-z+1/2'
'x+1/2,-y+1/2,z+1/2'
loop_
_atom_site_label
_atom_site_fract_x
_atom_site_fract_y
_atom_site_fract_z
_atom_site_occupancy
Rb1 0.232 0.090 0.433 1
Li1 0.241 0.198 0.860 1
F1 0.000 0.110 0.750 1
F2 0.000 0.308 0.250 1
F3 0.205 0.362 0.915 1



# RbLiF2 | Alexandria | GGA-PBEsol | optimized geometry
# * N(E_F): 0.0 states/eV per cell
# * magnetization: 0.00 μB per atom
# * relative energy among the computed polymorphs: 0.033 eV/atom
data_RbLiF2
_chemical_formula_sum 'Rb4 Li4 F8'
_symmetry_space_group_name_H-M 'I -4 2 d'
_symmetry_Int_Tables_number 122
_symmetry_space_group_name_Hall 'I -4 2bw'
_cell_length_a 5.845
_cell_length_b 5.845
_cell_length_c 7.087
_cell_angle_alpha 90.00
_cell_angle_beta 90.00
_cell_angle_gamma 90.00
loop_
_atom_site_label
_atom_site_fract_x
_atom_site_fract_y
_atom_site_fract_z
_atom_site_occupancy
Rb1 0.000 0.000 0.000 1
Li1 0.000 0.000 0.500 1
F1 0.130 0.250 0.625 1



# RbLiF2 | Alexandria | GGA-PBEsol | optimized geometry
# * N(E_F): 0.0 states/eV per cell
# * magnetization: 0.00 μB per atom
# * relative energy among the computed polymorphs: 0.544 eV/atom
data_RbLiF2
_chemical_formula_sum 'Rb3 Li3 F6'
_symmetry_space_group_name_H-M 'R -3 m'
_symmetry_Int_Tables_number 166
_symmetry_space_group_name_Hall '-R 3 2"'
_cell_length_a 3.3479
_cell_length_b 3.3479
_cell_length_c 20.6530
_cell_angle_alpha 90.00
_cell_angle_beta 90.00
_cell_angle_gamma 120.00
loop_
_atom_site_label
_atom_site_fract_x
_atom_site_fract_y
_atom_site_fract_z
_atom_site_occupancy
Rb1 0.0000 0.0000 0.0000 1
Li1 0.0000 0.0000 0.5000 1
F1 0.0000 0.0000 0.1155 1



# RbLi3F | Alexandria | GGA-PBEsol | optimized geometry
# * N(E_F): 2.3 states/eV per cell
# * magnetization: 0.00 μB per atom
data_RbLi3F
_chemical_formula_sum 'Rb1 Li3 F1'
_symmetry_space_group_name_H-M 'P m -3 m'
_symmetry_Int_Tables_number 221
_symmetry_space_group_name_Hall '-P 4 2 3'
_cell_length_a 4.976
_cell_length_b 4.976
_cell_length_c 4.976
_cell_angle_alpha 90.00
_cell_angle_beta 90.00
_cell_angle_gamma 90.00
loop_
_atom_site_label
_atom_site_fract_x
_atom_site_fract_y
_atom_site_fract_z
_atom_site_occupancy
Rb1 0.000 0.000 0.000 1
Li1 0.000 0.500 0.500 1
F1 0.500 0.500 0.500 1



# RbLiRhF2 | Alexandria | GGA-PBEsol | optimized geometry
# * N(E_F): 1.7 states/eV per cell
# * magnetization: 0.00 μB per atom
data_RbLiRhF2
_chemical_formula_sum 'Rb1 Li1 Rh1 F2'
_symmetry_space_group_name_H-M 'P 4/m m m'
_symmetry_Int_Tables_number 123
_symmetry_space_group_name_Hall '-P 4 2'
_cell_length_a 4.443
_cell_length_b 4.443
_cell_length_c 4.358
_cell_angle_alpha 90.00
_cell_angle_beta 90.00
_cell_angle_gamma 90.00
loop_
_atom_site_label
_atom_site_fract_x
_atom_site_fract_y
_atom_site_fract_z
_atom_site_occupancy
Rb1 0.000 0.000 0.000 1
Li1 0.500 0.500 0.000 1
Rh1 0.500 0.500 0.500 1
F1 0.000 0.500 0.500 1



# Rb2LiTlF6 | Alexandria | GGA-PBEsol | optimized geometry
# * N(E_F): 0.0 states/eV per cell
# * magnetization: 0.00 μB per atom
data_Rb2LiTlF6
_chemical_formula_sum 'Rb8 Li4 Tl4 F24'
_symmetry_space_group_name_H-M 'F m -3 m'
_symmetry_Int_Tables_number 225
_symmetry_space_group_name_Hall '-F 4 2 3'
_cell_length_a 8.485
_cell_length_b 8.485
_cell_length_c 8.485
_cell_angle_alpha 90.00
_cell_angle_beta 90.00
_cell_angle_gamma 90.00
loop_
_atom_site_label
_atom_site_fract_x
_atom_site_fract_y
_atom_site_fract_z
_atom_site_occupancy
Rb1 0.250 0.250 0.250 1
Li1 0.000 0.000 0.000 1
Tl1 0.000 0.000 0.500 1
F1 0.000 0.000 0.244 1



# Rb2LiYF6 | Alexandria | GGA-PBEsol | optimized geometry
# * N(E_F): 0.0 states/eV per cell
# * magnetization: 0.00 μB per atom
data_Rb2LiYF6
_chemical_formula_sum 'Rb8 Li4 Y4 F24'
_symmetry_space_group_name_H-M 'F m -3 m'
_symmetry_Int_Tables_number 225
_symmetry_space_group_name_Hall '-F 4 2 3'
_cell_length_a 8.496
_cell_length_b 8.496
_cell_length_c 8.496
_cell_angle_alpha 90.00
_cell_angle_beta 90.00
_cell_angle_gamma 90.00
loop_
_atom_site_label
_atom_site_fract_x
_atom_site_fract_y
_atom_site_fract_z
_atom_site_occupancy
Rb1 0.250 0.250 0.250 1
Li1 0.000 0.000 0.000 1
Y1 0.000 0.000 0.500 1
F1 0.000 0.000 0.246 1



# LiReF3 | Alexandria | GGA-PBEsol | optimized geometry
# * N(E_F): 1.6 states/eV per cell
# * magnetization: 1.00 μB per atom
data_LiReF3
_chemical_formula_sum 'Li1 Re1 F3'
_symmetry_space_group_name_H-M 'P m -3 m'
_symmetry_Int_Tables_number 221
_symmetry_space_group_name_Hall '-P 4 2 3'
_cell_length_a 3.743
_cell_length_b 3.743
_cell_length_c 3.743
_cell_angle_alpha 90.00
_cell_angle_beta 90.00
_cell_angle_gamma 90.00
loop_
_atom_site_label
_atom_site_fract_x
_atom_site_fract_y
_atom_site_fract_z
_atom_site_occupancy
Li1 0.000 0.000 0.000 1
Re1 0.500 0.500 0.500 1
F1 0.000 0.000 0.500 1



# LiRh3F | Alexandria | GGA-PBEsol | optimized geometry
# * N(E_F): 7.4 states/eV per cell
# * magnetization: 0.32 μB per atom
data_LiRh3F
_chemical_formula_sum 'Li1 Rh3 F1'
_symmetry_space_group_name_H-M 'P m -3 m'
_symmetry_Int_Tables_number 221
_symmetry_space_group_name_Hall '-P 4 2 3'
_cell_length_a 4.080
_cell_length_b 4.080
_cell_length_c 4.080
_cell_angle_alpha 90.00
_cell_angle_beta 90.00
_cell_angle_gamma 90.00
loop_
_atom_site_label
_atom_site_fract_x
_atom_site_fract_y
_atom_site_fract_z
_atom_site_occupancy
Li1 0.000 0.000 0.000 1
Rh1 0.000 0.000 0.500 1
F1 0.500 0.500 0.500 1



# LiRhF2 | Alexandria | GGA-PBEsol | optimized geometry
# * N(E_F): 8.3 states/eV per cell
# * magnetization: 0.00 μB per atom
data_LiRhF2
_chemical_formula_sum 'Li3 Rh3 F6'
_symmetry_space_group_name_H-M 'R -3 m'
_symmetry_Int_Tables_number 166
_symmetry_space_group_name_Hall '-R 3 2"'
_cell_length_a 2.7060
_cell_length_b 2.7060
_cell_length_c 18.5534
_cell_angle_alpha 90.00
_cell_angle_beta 90.00
_cell_angle_gamma 120.00
loop_
_atom_site_label
_atom_site_fract_x
_atom_site_fract_y
_atom_site_fract_z
_atom_site_occupancy
Li1 0.0000 0.0000 0.0000 1
Rh1 0.0000 0.0000 0.5000 1
F1 0.0000 0.0000 0.3931 1



# LiRhF6 | Alexandria | GGA-PBEsol | optimized geometry
# * N(E_F): 18.0 states/eV per cell
# * magnetization: 0.25 μB per atom
data_LiRhF6
_chemical_formula_sum 'Li3 Rh3 F18'
_symmetry_space_group_name_H-M 'R -3'
_symmetry_Int_Tables_number 148
_symmetry_space_group_name_Hall '-R 3'
_cell_length_a 5.0051
_cell_length_b 5.0051
_cell_length_c 13.4093
_cell_angle_alpha 90.00
_cell_angle_beta 90.00
_cell_angle_gamma 120.00
loop_
_atom_site_label
_atom_site_fract_x
_atom_site_fract_y
_atom_site_fract_z
_atom_site_occupancy
Li1 0.0000 0.0000 0.0000 1
Rh1 0.0000 0.0000 0.5000 1
F1 0.0142 0.3781 0.2471 1



It is found that the energy relative to the elements, uncorrected values, taken in the order of the records, are -588 -2113 -2052 -1918 -1225 -2144 -1718 -1127 -1848 -2816 -2782 -2272 -642 -975 -2491 -3366 -1039 1136 -1868 -1845 meV per atom.